The following is a PBE-GGA calculation of a relaxed structure of BC, from the Alexandria database.

Properties
**Energy of formation**: 0.80 eV/f.u.
**Theoretical density**: 2.8 g/cm³
**Symmetry**: P3m1
**E**: -90.62 eV for the cell shown
**Energy above the most stable polymorph in this dataset**: 0.248 eV/atom

abc: 2.5770 2.5770 13.9109
angles: 90.00 90.00 120.00
Element x y z (fractional)
B  0.0000  0.0000  0.0000
B  0.0000  0.0000  0.3924
B  0.3333  0.6667  0.1575
B  0.3333  0.6667  0.6582
B  0.6667  0.3333  0.3171
B  0.6667  0.3333  0.7312
C  0.0000  0.0000  0.5065
C  0.0000  0.0000  0.8793
C  0.3333  0.6667  0.0434
C  0.3333  0.6667  0.5440
C  0.6667  0.3333  0.2073
C  0.6667  0.3333  0.8458